1.
PBE SrTbIr4, optimized geometry; space group = F-43m; calculated formation energy = -516 meV/atom; total energy = -44.855 eV/cell
1.0
0.000 3.833 3.833
3.833 0.000 3.833
3.833 3.833 0.000
Sr Tb Ir
1 1 4
direct
0.000 0.000 0.000 Sr
0.250 0.250 0.250 Tb
0.125 0.625 0.625 Ir
0.625 0.125 0.625 Ir
0.625 0.625 0.125 Ir
0.625 0.625 0.625 Ir

---

2.
PBE Ti2Nb2Co, optimized geometry; space group = P4/mbm; calculated formation energy = 152 meV/atom; total energy = -84.550 eV/cell; E above lowest polymorph = 281 meV/atom
1.0
6.228 0.000 0.000
0.000 6.228 0.000
0.000 0.000 4.299
Ti Nb Co
4 4 2
direct
0.154 0.346 0.000 Ti
0.346 0.846 0.000 Ti
0.654 0.154 0.000 Ti
0.846 0.654 0.000 Ti
0.160 0.660 0.500 Nb
0.340 0.160 0.500 Nb
0.660 0.840 0.500 Nb
0.840 0.340 0.500 Nb
0.000 0.000 0.000 Co
0.500 0.500 0.000 Co

---

> Which value of calculated formation energy does entry 1 give?

-516 meV/atom

---

> total energy of number 1 (SrTbIr4)?

-44.855 eV/cell